No. 1
Density functional theory data (PBE+U) for CuWNO2 after structural relaxation.

E ... -32.2 eV per formula unit
Crystal system ... tetragonal

Unit cell a=3.892 b=3.892 c=4.003 alpha=90.00 beta=90.00 gamma=90.00
Space group P4/mmm (No. 123)
Asymmetric unit:
Cu: 0.000 0.000 0.000
W: 0.500 0.500 0.500
N: 0.500 0.500 0.000
O: 0.000 0.500 0.500

No. 2
Density functional theory data (PBE+U) for CuWNO2 after structural relaxation.

E ... -27.2 eV per formula unit
Crystal system ... tetragonal

Unit cell a=3.739 b=3.739 c=3.786 alpha=90.00 beta=90.00 gamma=90.00
Space group P4/mmm (No. 123)
Asymmetric unit:
Cu: 0.000 0.000 0.000
W: 0.500 0.500 0.500
N: 0.000 0.000 0.500
O: 0.000 0.500 0.000